# 1
DFT (PBE) results for a relaxed AgSbTe2I crystal.

Results
The density of states at the Fermi level is 3.811 states/eV per cell. Its total energy is -12.35 eV per cell. The value obtained for the excess energy over the best structure of this formula in the dataset is 567 meV per atom.

abc: 5.505 5.505 5.378
angles: 90.00 90.00 90.00
Space group P4/mmm (No. 123)
Asymmetric unit:
Ag1 0.000 0.000 0.000 x1
Sb1 0.500 0.500 0.500 x1
Te1 0.000 0.500 0.000 x2
I1 0.000 0.000 0.500 x1

=====

# 2
DFT (PBE) results for a relaxed Mn2TeCl crystal.

Results
The density of states at the Fermi level is 3.221 states/eV per cell. Its total energy is -22.76 eV per cell. The value obtained for the excess energy over the best structure of this formula in the dataset is 296 meV per atom.

abc: 3.396 3.396 6.899
angles: 90.00 90.00 90.00
Space group P4/mmm (No. 123)
Asymmetric unit:
Mn1 0.000 0.000 0.219 x2
Te1 0.500 0.500 0.000 x1
Cl1 0.500 0.500 0.500 x1